MgSnRh2 | PBE-GGA | optimized geometry

CIF file:
```
data_MgSnRh2
_chemical_formula_sum 'Mg4 Sn4 Rh8'
_cell_length_a 6.342
_cell_length_b 6.342
_cell_length_c 6.342
_cell_angle_alpha 90.00
_cell_angle_beta 90.00
_cell_angle_gamma 90.00
_space_group_name_H-M_alt 'P 1'
_space_group_IT_number 1
_space_group_name_Hall 'P 1'
loop_
_atom_site_label
_atom_site_type_symbol
_atom_site_fract_x
_atom_site_fract_y
_atom_site_fract_z
Mg1 Mg 0.000 0.000 0.000
Mg2 Mg 0.000 0.500 0.500
Mg3 Mg 0.500 0.000 0.500
Mg4 Mg 0.500 0.500 0.000
Sn1 Sn 0.000 0.000 0.500
Sn2 Sn 0.000 0.500 0.000
Sn3 Sn 0.500 0.000 0.000
Sn4 Sn 0.500 0.500 0.500
Rh1 Rh 0.250 0.250 0.250
Rh2 Rh 0.250 0.250 0.750
Rh3 Rh 0.250 0.750 0.250
Rh4 Rh 0.250 0.750 0.750
Rh5 Rh 0.750 0.250 0.250
Rh6 Rh 0.750 0.250 0.750
Rh7 Rh 0.750 0.750 0.250
Rh8 Rh 0.750 0.750 0.750
```

Results
Energy above the lowest structure with this stoichiometry in eV per formula unit: 0.000
Formation energy from the elements in eV per atom: -0.65

PrTlCd | PBE-GGA | optimized geometry

CIF file:
```
data_PrTlCd
_chemical_formula_sum 'Pr4 Tl4 Cd4'
_cell_length_a 11.518
_cell_length_b 5.059
_cell_length_c 7.532
_cell_angle_alpha 90.00
_cell_angle_beta 130.55
_cell_angle_gamma 90.00
_space_group_name_H-M_alt 'P 1'
_space_group_IT_number 1
_space_group_name_Hall 'P 1'
loop_
_atom_site_label
_atom_site_type_symbol
_atom_site_fract_x
_atom_site_fract_y
_atom_site_fract_z
Pr1 Pr 0.014 0.000 0.264
Pr2 Pr 0.486 0.500 0.736
Pr3 Pr 0.514 0.500 0.264
Pr4 Pr 0.986 0.000 0.736
Tl1 Tl 0.170 0.500 0.693
Tl2 Tl 0.330 0.000 0.307
Tl3 Tl 0.670 0.000 0.693
Tl4 Tl 0.830 0.500 0.307
Cd1 Cd 0.161 0.500 0.133
Cd2 Cd 0.339 0.000 0.867
Cd3 Cd 0.661 0.000 0.133
Cd4 Cd 0.839 0.500 0.867
```

Results
Formation energy from the elements in eV per atom: -0.33

ZrAs2Rh | PBE-GGA | optimized geometry

CIF file:
```
data_ZrAs2Rh
_chemical_formula_sum 'Zr2 As4 Rh2'
_cell_length_a 9.495
_cell_length_b 3.462
_cell_length_c 4.458
_cell_angle_alpha 90.00
_cell_angle_beta 105.65
_cell_angle_gamma 90.00
_space_group_name_H-M_alt 'P 1'
_space_group_IT_number 1
_space_group_name_Hall 'P 1'
loop_
_atom_site_label
_atom_site_type_symbol
_atom_site_fract_x
_atom_site_fract_y
_atom_site_fract_z
Zr1 Zr 0.000 0.000 0.000
Zr2 Zr 0.500 0.500 0.000
As1 As 0.236 0.500 0.110
As2 As 0.496 0.000 0.495
As3 As 0.736 0.000 0.110
As4 As 0.996 0.500 0.495
Rh1 Rh 0.212 0.000 0.632
Rh2 Rh 0.712 0.500 0.632
```

Results
Formation energy from the elements in eV per atom: -0.64

HOsRh2 | PBE-GGA | optimized geometry

CIF file:
```
data_HOsRh2
_chemical_formula_sum 'H1 Os1 Rh2'
_cell_length_a 2.705
_cell_length_b 2.705
_cell_length_c 6.366
_cell_angle_alpha 90.00
_cell_angle_beta 90.00
_cell_angle_gamma 90.00
_space_group_name_H-M_alt 'P 1'
_space_group_IT_number 1
_space_group_name_Hall 'P 1'
loop_
_atom_site_label
_atom_site_type_symbol
_atom_site_fract_x
_atom_site_fract_y
_atom_site_fract_z
H1 H 0.000 0.000 0.000
Os1 Os 0.000 0.000 0.500
Rh1 Rh 0.500 0.500 0.207
Rh2 Rh 0.500 0.500 0.793
```

Results
Energy above the lowest structure with this stoichiometry in eV per formula unit: 0.717

D(E_F)
In order: 0.51 0.76 0.42 0.76
Unit: states/eV per atom